A geometry-optimized BaLaZn4 structure. Source: the Alexandria database, functional PBE.

Summary:
Energy relative to the elements ... -1.01 eV/f.u.
Relative energy among the computed polymorphs ... 67 meV/atom
M_tot ... 0.000 μB per atom
V ... 561.8 Å³ per cell

```
data_BaLaZn4
_chemical_formula_sum 'Ba4 La4 Zn16'
_cell_length_a 8.251
_cell_length_b 8.251
_cell_length_c 8.251
_cell_angle_alpha 90.00
_cell_angle_beta 90.00
_cell_angle_gamma 90.00
_symmetry_space_group_name_H-M 'F -4 3 m'
_symmetry_Int_Tables_number 216
_symmetry_space_group_name_Hall 'F -4 2 3'
loop_
_atom_site_label
_atom_site_type_symbol
_atom_site_fract_x
_atom_site_fract_y
_atom_site_fract_z
Ba1 Ba 0.000 0.000 0.000
La1 La 0.250 0.250 0.750
Zn1 Zn 0.123 0.123 0.377
```

A geometry-optimized BaLaZn4 structure. Source: the Alexandria database, functional PBE.

Summary:
Energy relative to the elements ... -1.41 eV/f.u.
Relative energy among the computed polymorphs ... 0 meV/atom
M_tot ... 0.000 μB per atom
V ... 152.8 Å³ per cell

```
data_BaLaZn4
_chemical_formula_sum 'Ba1 La1 Zn4'
_cell_length_a 3.882
_cell_length_b 4.678
_cell_length_c 8.410
_cell_angle_alpha 90.00
_cell_angle_beta 90.00
_cell_angle_gamma 90.00
_symmetry_space_group_name_H-M 'P m m m'
_symmetry_Int_Tables_number 47
_symmetry_space_group_name_Hall '-P 2 2'
loop_
_atom_site_label
_atom_site_type_symbol
_atom_site_fract_x
_atom_site_fract_y
_atom_site_fract_z
Ba1 Ba 0.000 0.000 0.000
La1 La 0.000 0.500 0.500
Zn1 Zn 0.500 0.000 0.345
Zn2 Zn 0.500 0.500 0.187
```